[1]
Sc5Ni at its PBEsol-relaxed geometry, computed with SCAN.

Cell and atoms, written as extended XYZ:
```
6
Lattice="-3.1536 0.1746 -0.4628 -0.1075 -3.1573 -0.4585 -1.8570 -1.6821 12.0195" Properties=species:S:1:pos:R:3 pbc="T T T"
Sc 0.0000 0.0000 0.0000
Sc -1.1539 -1.0453 7.4690
Sc -0.7030 -0.6368 4.5505
Sc -1.9746 -1.8029 1.7659
Sc -3.1436 -2.8618 9.3322
Ni -2.5591 -2.3324 5.5491
```

Summary:
Energy, eV per atom: -14.671
Formation energy, eV/f.u.: -0.7



[2]
TlP2Au at its PBEsol-relaxed geometry, computed with SCAN.

Cell and atoms, written as extended XYZ:
```
4
Lattice="4.6429 0.0020 -0.0034 -1.6293 4.3476 0.0034 1.6293 2.0899 3.8123" Properties=species:S:1:pos:R:3 pbc="T T T"
Tl 0.0000 0.0000 0.0000
P 1.5068 2.1748 0.0000
P 3.1361 1.0460 1.9045
Au 0.0000 3.2187 1.9079
```

Summary:
Energy, eV per atom: -40.211
Formation energy, eV/f.u.: 1.5



[3]
HfReMo2Cl at its PBEsol-relaxed geometry, computed with SCAN.

Cell and atoms, written as extended XYZ:
```
5
Lattice="4.3526 0.0000 0.0000 0.0000 4.3526 0.0000 0.0000 0.0000 4.4064" Properties=species:S:1:pos:R:3 pbc="T T T"
Cl 0.0000 0.0000 0.0000
Mo 2.1763 0.0000 0.0000
Mo 0.0000 2.1763 0.0000
Hf 2.1763 2.1763 2.2032
Re 0.0000 0.0000 2.2032
```

Summary:
ΔE_f (raw), eV per formula unit: 4.7
Energy, eV per atom: -41.359



[4]
FeH10N2OF5 at its PBEsol-relaxed geometry, computed with SCAN.

Cell and atoms, written as extended XYZ:
```
76
Lattice="7.4466 0.0000 0.0000 0.0000 8.0479 0.0000 0.0000 0.0000 10.4971" Properties=species:S:1:pos:R:3 pbc="T T T"
O 1.8616 7.7250 0.0000
O 5.5849 0.3229 0.0000
O 1.8616 3.7011 5.2486
O 5.5849 4.3468 5.2486
H 3.9630 5.1013 1.8466
H 4.5891 4.1192 9.2680
H 7.3629 3.6018 7.8730
H 3.8070 7.6257 2.6244
H 0.8658 7.9526 6.4776
H 3.4836 2.9466 8.6505
H 6.2803 3.2955 2.6998
H 0.2397 2.9466 1.8466
H 1.0306 7.1817 0.2549
H 3.6396 4.4461 7.8730
H 3.9630 1.0773 3.4020
H 0.0837 4.4461 2.6241
H 1.1663 4.7524 7.7974
H 3.6396 0.4222 7.8727
H 4.8896 3.2955 7.7974
H 4.7539 4.8902 4.9936
H 4.8896 7.3194 7.9483
H 7.2069 1.0773 7.0952
H 3.4836 6.9705 7.0952
H 0.8658 3.9287 9.2680
H 2.5570 4.7524 2.6998
H 6.5808 0.0953 4.0195
H 1.1663 0.7285 7.9483
H 1.0306 3.1577 4.9936
H 6.4159 0.8662 10.2422
H 6.4159 4.8902 5.5035
H 2.8575 3.9287 1.2291
H 6.5808 4.1192 1.2291
H 3.8070 3.6018 2.6241
H 2.8575 7.9526 4.0195
H 2.5570 0.7285 2.5488
H 2.6927 7.1817 10.2422
H 2.6927 3.1577 5.5035
H 0.0837 0.4222 2.6244
H 0.2397 6.9705 3.4020
H 4.7539 0.8662 0.2549
H 7.3629 7.6257 7.8727
H 6.2803 7.3194 2.5488
H 4.5891 0.0953 6.4776
H 7.2069 5.1013 8.6505
Fe 1.8616 5.5547 5.2486
Fe 5.5849 2.4932 5.2486
Fe 5.5849 6.5171 0.0000
Fe 1.8616 1.5307 0.0000
N 3.2943 4.3350 2.0922
N 0.4290 0.3110 7.3408
N 7.0176 7.7369 3.1563
N 4.1523 3.7129 8.4049
N 3.2943 0.3110 3.1563
N 7.0176 3.7129 2.0922
N 0.4290 4.3350 8.4049
N 4.1523 7.7369 7.3408
F 3.5924 5.6314 4.5808
F 4.9179 2.4875 3.4923
F 0.1309 5.6314 5.9163
F 2.5287 5.5604 7.0048
F 1.8616 7.4227 5.2486
F 0.1309 1.6074 9.8294
F 6.2520 6.5115 8.7409
F 3.8542 2.4165 5.9163
F 7.3157 2.4165 4.5808
F 1.1946 5.5604 3.4923
F 1.8616 3.3988 0.0000
F 7.3157 6.4405 0.6677
F 2.5287 1.5364 8.7409
F 3.5924 1.6074 0.6677
F 1.1946 1.5364 1.7562
F 6.2520 2.4875 7.0048
F 3.8542 6.4405 9.8294
F 4.9179 6.5115 1.7562
F 5.5849 4.6491 0.0000
F 5.5849 0.6252 5.2486
```

Summary:
Energy, eV per atom: -6.297



[5]
RbP3Pd at its PBEsol-relaxed geometry, computed with SCAN.

Cell and atoms, written as extended XYZ:
```
5
Lattice="5.1161 0.0000 0.0000 0.0000 5.1161 0.0000 0.0000 0.0000 5.1161" Properties=species:S:1:pos:R:3 pbc="T T T"
P 0.0000 0.0000 2.5581
P 2.5581 0.0000 0.0000
P 0.0000 2.5581 0.0000
Pd 2.5581 2.5581 2.5581
Rb 0.0000 0.0000 0.0000
```

Summary:
Energy, eV per atom: -14.389
Formation energy, eV/f.u.: 12.8



[6]
BeIr2W at its PBEsol-relaxed geometry, computed with SCAN.

Cell and atoms, written as extended XYZ:
```
4
Lattice="2.8232 0.0000 0.0000 0.0000 4.3115 0.0000 -1.4116 -2.1558 4.2720" Properties=species:S:1:pos:R:3 pbc="T T T"
Ir 1.4116 0.0000 2.1302
Ir 1.4116 2.1558 3.9846
W 1.4116 2.1558 0.2077
Be 0.0000 2.1558 2.2215
```

Summary:
Energy, eV per atom: -54.311
Formation energy, eV/f.u.: -1.0



[7]
W2BrCl at its PBEsol-relaxed geometry, computed with SCAN.

Cell and atoms, written as extended XYZ:
```
4
Lattice="-1.8752 -1.0098 1.8476 3.9828 -1.7756 3.0719 -1.0005 5.3086 -0.2655" Properties=species:S:1:pos:R:3 pbc="T T T"
Cl -0.9376 -0.5049 0.9238
Br 1.9914 -0.8878 1.5359
W 0.0254 1.8685 1.0470
W 1.0817 0.6548 3.6070
```

Summary:
ΔE_f (raw), eV per formula unit: 5.3
Energy, eV per atom: -40.385



[8]
BeCdHg2 at its PBEsol-relaxed geometry, computed with SCAN.

Cell and atoms, written as extended XYZ:
```
4
Lattice="-0.1913 -1.5416 2.5102 0.2884 -2.6674 -1.6162 7.8070 0.3524 0.8113" Properties=species:S:1:pos:R:3 pbc="T T T"
Cd 3.9520 -1.9283 0.8527
Be 0.0485 -2.1045 0.4470
Hg 6.2054 0.2801 0.6449
Hg 1.6016 0.0723 0.1664
```

Summary:
Energy, eV per atom: -42.514
Formation energy, eV/f.u.: 1.0